#A
## MnVNiHO (PBE+U)

Data for MnVNiHO after structural relaxation.

Output
Its density of states at the Fermi level is 2.236 states/eV per cell.

Cell: 5.486 3.178 6.978 Å, 90.00 90.20 90.00°
Space group Cm (No. 8)
Asymmetric unit:
Mn 0.000 0.000 0.000 x2
V 0.332 0.000 0.575 x2
Ni 0.166 0.500 0.285 x2
H 0.166 0.500 0.033 x2
O 0.499 0.500 0.700 x2

***

#B
## MnVNiHO (PBE+U)

Data for MnVNiHO after structural relaxation.

Output
Its density of states at the Fermi level is 2.020 states/eV per cell.

Cell: 11.634 3.174 3.097 Å, 90.00 105.40 90.00°
Space group Cm (No. 8)
Asymmetric unit:
Mn 0.000 0.000 0.000 x2
V 0.282 0.000 0.281 x2
Ni 0.121 0.500 0.621 x2
H 0.464 0.000 0.462 x2
O 0.309 0.500 0.808 x2

***

Q: Which of them is the most stable? A: #B.